# PrLuTl2

PrLuTl2 after structural relaxation (PBE-GGA, Alexandria via LeMat-Bulk).

Lattice parameters (Å, degrees): 5.430 5.430 5.430 60.00 60.00 60.00
Fractional coordinates of all 4 atoms:
Pr1 0.000 0.000 0.000
Lu1 0.500 0.500 0.500
Tl1 0.250 0.250 0.250
Tl2 0.750 0.750 0.750

Output
The value obtained for the volume is 28.3 A^3/atom. The formation enthalpy at 0 K comes out at -0.320 eV per atom. The total magnetic moment is 0.0 μB per cell. As for the energy above the most stable polymorph in this dataset: 19.7 meV/atom.